1.
CrPtW2, optimized geometry, DFT PBE; symmetry = No. 99; size of the total moment = 1.95 μB per cell; energy relative to the elements = 1.89 kcal/mol of atoms
1.0
3.2126 0.0000 0.0000
0.0000 3.2126 0.0000
0.0000 0.0000 5.9112
Cr Pt W
1 1 2
direct
0.0000 0.0000 0.4902
0.5000 0.5000 0.7419
0.0000 0.0000 0.0057
0.5000 0.5000 0.2622


2.
Pm2Nd4Ho2Mg, optimized geometry, DFT PBE; symmetry = No. 2; size of the total moment = 0.00 μB per cell; energy relative to the elements = 1.03 kcal/mol of atoms
1.0
6.6984 1.1944 0.9249
-0.1952 8.5512 2.1373
-2.6970 -3.1671 4.1439
Pm Nd Ho Mg
2 4 2 1
direct
0.1149 0.7862 0.4736
0.8851 0.2138 0.5264
0.5175 0.8810 0.1844
0.6947 0.6699 0.6372
0.4825 0.1190 0.8156
0.3053 0.3301 0.3628
0.7723 0.4637 0.0649
0.2277 0.5363 0.9351
0.0000 0.0000 0.0000


3.
MoPt2W, optimized geometry, DFT PBE; symmetry = No. 99; size of the total moment = 0.00 μB per cell; energy relative to the elements = -2.22 kcal/mol of atoms
1.0
-0.0857 -2.1982 -2.5044
3.0257 0.9985 -0.9799
2.3948 -3.9418 3.3780
Mo Pt W
1 2 1
direct
0.5000 0.5000 0.7576
0.0000 0.0000 0.9980
0.5000 0.5000 0.2535
0.0000 0.0000 0.4910


4.
CeSc3Sb3, optimized geometry, DFT PBE; total DFT energy (no corrections) = -6.0580 eV/atom; symmetry = No. 148; size of the total moment = 2.33 μB per cell
1.0
-5.9380 -1.6572 6.2829
2.6452 -1.6359 8.2345
-1.3923 4.6342 6.0725
Ce Sc Sb
2 6 6
direct
0.3344 0.3344 0.9967
0.6656 0.6656 0.0033
0.3521 0.8115 0.7544
0.8115 0.0821 0.7544
0.0821 0.3521 0.7544
0.9179 0.6479 0.2456
0.1885 0.9179 0.2456
0.6479 0.1885 0.2456
0.2840 0.5435 0.2556
0.9170 0.2840 0.2556
0.5435 0.9170 0.2556
0.4565 0.0830 0.7444
0.0830 0.7160 0.7444
0.7160 0.4565 0.7444


5.
Ce2TlSe, optimized geometry, DFT PBE; total DFT energy (no corrections) = -5.3068 eV/atom; symmetry = No. 160; size of the total moment = 1.81 μB per cell
1.0
-3.3987 1.7341 1.2075
-2.3833 -1.8727 2.6132
2.2431 3.6396 7.7186
Ce Tl Se
2 1 1
direct
0.0702 0.0702 0.7895
0.2632 0.2632 0.2104
0.4995 0.4995 0.5014
0.6671 0.6671 0.9987


6.
BeNi2Sb, optimized geometry, DFT PBE; total DFT energy (no corrections) = -4.9120 eV/atom; symmetry = No. 44; size of the total moment = 0.00 μB per cell
1.0
4.6142 0.0040 -0.0281
1.7388 4.2741 0.0281
-3.1646 -2.1567 2.5741
Sb Be Ni
1 1 2
direct
0.5002 0.5002 0.0000
0.2506 0.7506 0.5000
0.9995 0.9995 0.0000
0.7498 0.2498 0.5000


7.
Zr2PdClF, optimized geometry, DFT PBE; total DFT energy (no corrections) = -5.0220 eV/atom; symmetry = No. 123; size of the total moment = 0.00 μB per cell
1.0
-1.6754 4.7197 0.7167
-4.4757 -1.3031 -1.8811
-1.5804 -1.2651 4.6366
F Zr Pd Cl
1 2 1 1
direct
0.5000 0.5000 0.5000
0.0000 0.0000 0.5000
0.5000 0.0000 0.0000
0.0000 0.0000 0.0000
0.0000 0.5000 0.0000


8.
NaSrLa2Au4, optimized geometry, DFT PBE; symmetry = No. 166; size of the total moment = 0.00 μB per cell; energy relative to the elements = -15.98 kcal/mol of atoms
1.0
5.2758 0.0000 0.0000
2.6379 4.5690 0.0000
2.6379 1.5230 8.6264
Na Sr La Au
1 1 2 4
direct
0.5000 0.5000 0.5000
0.0000 0.0000 0.0000
0.7549 0.7549 0.7352
0.2451 0.2451 0.2648
0.3744 0.3744 0.8769
0.8761 0.8761 0.3716
0.1239 0.1239 0.6284
0.6256 0.6256 0.1231


9.
LiCr2Os, optimized geometry, DFT PBE; symmetry = No. 71; size of the total moment = 0.00 μB per cell; energy relative to the elements = 6.94 kcal/mol of atoms
1.0
-1.4207 4.2418 1.9265
-1.8143 2.2140 3.9407
2.7643 1.7846 2.3367
Cr Li Os
2 1 1
direct
0.9909 0.9909 0.0085
0.5091 0.5091 0.4915
0.7500 0.7500 0.7500
0.2500 0.2500 0.2500


10.
RbIn2Ge, optimized geometry, DFT PBE; symmetry = No. 123; size of the total moment = 0.00 μB per cell; energy relative to the elements = 0.49 kcal/mol of atoms
1.0
-2.5573 1.1963 2.4593
-0.1234 -3.4140 1.5323
6.3701 2.2513 5.5290
Ge Rb In
1 1 2
direct
0.5000 0.5000 0.0000
0.5000 0.5000 0.5000
0.0000 0.0000 0.8167
0.0000 0.0000 0.1833


11.
Sm2Zn4Cd, optimized geometry, DFT PBE; symmetry = No. 166; size of the total moment = 0.00 μB per cell; energy relative to the elements = -2.74 kcal/mol of atoms
1.0
4.5732 0.0000 1.4288
2.0634 4.0813 1.4288
-0.1626 -0.1000 8.5539
Sm Zn Cd
2 4 1
direct
0.7498 0.7498 0.7506
0.2502 0.2502 0.2494
0.8718 0.8718 0.3846
0.1282 0.1282 0.6154
0.6251 0.6251 0.1248
0.3749 0.3749 0.8752
0.0000 0.0000 0.0000


12.
Li2PuSbO8, optimized geometry, DFT PBE; total DFT energy (no corrections) = -6.6561 eV/atom; symmetry = No. 119; size of the total moment = 1.05 μB per cell
1.0
5.7556 0.7109 0.0000
-1.9155 5.4738 0.0000
-1.9200 -3.0924 4.5147
Li Pu Sb O
2 1 1 8
direct
0.7500 0.2500 0.5000
0.5000 0.5000 0.0000
0.0000 0.0000 0.0000
0.2500 0.7500 0.5000
0.3342 0.0402 0.2941
0.3012 0.5008 0.1996
0.3012 0.1016 0.8004
0.7461 0.0402 0.7059
0.8984 0.6988 0.1996
0.9598 0.2539 0.2941
0.9598 0.6658 0.7059
0.4992 0.6988 0.8004


13.
Si2MoPd4, optimized geometry, DFT PBE; total DFT energy (no corrections) = -5.3497 eV/atom; symmetry = No. 139; size of the total moment = 0.00 μB per cell
1.0
-1.1471 -2.6063 -3.9202
3.8838 -2.8041 0.7278
-1.9453 -6.4048 1.8330
Mo Si Pd
1 2 4
direct
0.0000 0.0000 0.0000
0.5971 0.5971 0.8059
0.4029 0.4029 0.1941
0.7885 0.7885 0.4230
0.2115 0.2115 0.5770
0.0000 0.5000 0.0000
0.5000 0.0000 0.0000